Entry 1:
A geometry-optimized Ba6NaGa structure. Source: the Alexandria database, functional GGA-PBE. Values from VASP.

Geometry as Quantum ESPRESSO input:
```
&SYSTEM
  ibrav = 0, nat = 8, ntyp = 3
/
ATOMIC_SPECIES
Na 22.99 Na.upf
Ba 137.33 Ba.upf
Ga 69.72 Ga.upf
ATOMIC_POSITIONS angstrom
Na 0.0000 0.0000 0.0000
Ba 3.8385 4.2032 8.5772
Ga 2.6766 2.9316 1.7730
Ba -0.0484 3.1696 10.8232
Ba 1.8498 5.2494 4.5188
Ba 5.0602 2.3183 4.5186
Ba 3.1621 0.2385 10.8229
Ba 1.1733 1.2847 6.7646
CELL_PARAMETERS angstrom
5.8875 0.0003 1.7726
-0.5342 5.8628 1.7733
-0.3414 -0.3752 11.7958
```

Computed properties:
Energy of formation from the pure elements = -50 meV per atom


Entry 2:
A geometry-optimized La3Be2CdPd9 structure. Source: the Alexandria database, functional GGA-PBE. Values from VASP.

Geometry as Quantum ESPRESSO input:
```
&SYSTEM
  ibrav = 0, nat = 15, ntyp = 4
/
ATOMIC_SPECIES
Pd 106.42 Pd.upf
La 138.91 La.upf
Be 9.01 Be.upf
Cd 112.41 Cd.upf
ATOMIC_POSITIONS angstrom
Pd 1.4723 4.8403 2.2716
Pd 0.0000 2.2902 2.2716
Pd 1.9834 1.1451 4.8348
La 3.4556 1.9951 2.3749
Be 3.4556 1.9951 6.2197
Pd -1.7278 2.9927 0.0000
Pd 3.4556 3.6952 4.8348
Cd 0.0000 0.0000 3.5532
La 0.0000 0.0000 0.0000
Pd 3.4556 0.0000 0.0000
La 0.0000 3.9902 4.7314
Pd 1.7278 2.9927 0.0000
Pd 4.9279 1.1451 4.8348
Pd -1.4723 4.8403 2.2716
Be 0.0000 3.9902 0.8867
CELL_PARAMETERS angstrom
6.9113 0.0000 0.0000
-3.4556 5.9853 0.0000
0.0000 0.0000 7.1064
```

Computed properties:
Energy of formation from the pure elements = -574 meV per atom


Entry 3:
A geometry-optimized Li3AlH structure. Source: the Alexandria database, functional GGA-PBE. Values from VASP.

Geometry as Quantum ESPRESSO input:
```
&SYSTEM
  ibrav = 0, nat = 5, ntyp = 3
/
ATOMIC_SPECIES
H 1.01 H.upf
Li 6.94 Li.upf
Al 26.98 Al.upf
ATOMIC_POSITIONS angstrom
H 0.0000 0.0000 0.0000
Li 0.0000 2.0131 0.0000
Li 0.0000 0.0000 2.0131
Al 2.0131 2.0131 2.0131
Li 2.0131 0.0000 0.0000
CELL_PARAMETERS angstrom
4.0263 0.0000 0.0000
0.0000 4.0263 0.0000
0.0000 0.0000 4.0263
```

Computed properties:
E = -2.697 eV per atom


Entry 4:
A geometry-optimized InAgPOs2 structure. Source: the Alexandria database, functional GGA-PBE. Values from VASP.

Geometry as Quantum ESPRESSO input:
```
&SYSTEM
  ibrav = 0, nat = 5, ntyp = 4
/
ATOMIC_SPECIES
Ag 107.87 Ag.upf
Os 190.23 Os.upf
P 30.97 P.upf
In 114.82 In.upf
ATOMIC_POSITIONS angstrom
Ag 0.0000 2.3198 0.0000
Os 2.2152 0.0000 0.0000
Os 0.0000 0.0000 2.2152
P 0.0000 0.0000 0.0000
In 2.2152 2.3198 2.2152
CELL_PARAMETERS angstrom
4.4304 0.0000 0.0000
0.0000 4.6396 0.0000
0.0000 0.0000 4.4304
```

Computed properties:
Energy of formation from the pure elements = 699 meV per atom


Entry 5:
A geometry-optimized Dy4Ag3Ru structure. Source: the Alexandria database, functional GGA-PBE. Values from VASP.

Geometry as Quantum ESPRESSO input:
```
&SYSTEM
  ibrav = 0, nat = 8, ntyp = 3
/
ATOMIC_SPECIES
Dy 162.50 Dy.upf
Ag 107.87 Ag.upf
Ru 101.07 Ru.upf
ATOMIC_POSITIONS angstrom
Dy 8.7271 -1.2779 9.7553
Ag 5.5657 -1.0679 9.9485
Dy 1.0938 -0.1602 1.2226
Dy 6.1700 -0.9034 6.8970
Ag 3.0596 -0.7010 7.1471
Dy 3.6509 -0.5346 4.0810
Ag 0.5534 -0.3340 4.3457
Ru -1.8509 0.0181 1.6582
CELL_PARAMETERS angstrom
-1.6764 2.4913 1.8260
-2.0254 -2.4552 1.4903
9.8209 -1.4380 10.9779
```

Computed properties:
Energy of formation from the pure elements = -352 meV per atom


Entry 6:
A geometry-optimized NdSn2Pd7 structure. Source: the Alexandria database, functional GGA-PBE. Values from VASP.

Geometry as Quantum ESPRESSO input:
```
&SYSTEM
  ibrav = 0, nat = 10, ntyp = 3
/
ATOMIC_SPECIES
Pd 106.42 Pd.upf
Sn 118.71 Sn.upf
Nd 144.24 Nd.upf
ATOMIC_POSITIONS angstrom
Pd -1.9301 -1.9530 -1.3159
Pd 4.2219 -2.0464 -2.5654
Sn -2.0400 -4.5572 -1.0083
Nd 0.0000 0.0000 0.0000
Sn 2.0398 -2.6547 -3.8391
Pd -0.0001 -3.6060 -2.4237
Pd 1.9299 -5.2589 -3.5314
Pd -1.7203 -4.8174 1.5576
Pd -0.3395 -6.3172 -1.9567
Pd 0.3393 -0.8947 -2.8906
CELL_PARAMETERS angstrom
-2.5018 -0.3481 -3.8396
6.3676 -1.0458 -4.0542
-3.8660 -5.8180 3.0465
```

Computed properties:
Energy of formation from the pure elements = -245 meV per atom


Entry 7:
A geometry-optimized KTe2Os structure. Source: the Alexandria database, functional GGA-PBE. Values from VASP.

Geometry as Quantum ESPRESSO input:
```
&SYSTEM
  ibrav = 0, nat = 4, ntyp = 3
/
ATOMIC_SPECIES
K 39.10 K.upf
Te 127.60 Te.upf
Os 190.23 Os.upf
ATOMIC_POSITIONS angstrom
K 1.5507 1.7098 2.1333
Te 0.0000 0.0000 4.8014
Os 1.5507 1.7098 6.3999
Te 0.0000 0.0000 7.9984
CELL_PARAMETERS angstrom
3.4389 -0.0027 0.0000
-0.3375 3.4223 0.0000
0.0000 0.0000 8.5332
```

Computed properties:
Uncorrected formation energy = 0.282 eV/atom


Entry 8:
A geometry-optimized SrCa3Hg structure. Source: the Alexandria database, functional GGA-PBE. Values from VASP.

Geometry as Quantum ESPRESSO input:
```
&SYSTEM
  ibrav = 0, nat = 10, ntyp = 3
/
ATOMIC_SPECIES
Ca 40.08 Ca.upf
Sr 87.62 Sr.upf
Hg 200.59 Hg.upf
ATOMIC_POSITIONS angstrom
Ca 4.5523 5.1029 11.4822
Ca 2.9546 4.3132 8.1432
Ca 3.3378 0.2399 5.8111
Sr 1.9573 3.7640 14.2129
Hg 3.8261 1.8941 2.8394
Hg 2.4933 2.6197 10.9510
Ca 4.2973 0.8520 13.0340
Ca 3.7581 6.4540 3.2534
Ca 0.7327 1.2220 8.6033
Sr 1.3922 3.4083 4.5898
CELL_PARAMETERS angstrom
4.1798 0.0000 0.6868
1.9804 6.8670 1.0099
-0.0794 0.0160 13.5457
```

Computed properties:
Energy of formation from the pure elements = -224 meV per atom


Entry 9:
A geometry-optimized CrCdMo2 structure. Source: the Alexandria database, functional GGA-PBE. Values from VASP.

Geometry as Quantum ESPRESSO input:
```
&SYSTEM
  ibrav = 0, nat = 4, ntyp = 3
/
ATOMIC_SPECIES
Cd 112.41 Cd.upf
Cr 52.00 Cr.upf
Mo 95.94 Mo.upf
ATOMIC_POSITIONS angstrom
Cd 2.8475 0.3408 1.2671
Cr -1.0271 2.6776 1.2671
Mo 0.0000 0.0000 0.0000
Mo 1.4127 2.3424 -0.0126
CELL_PARAMETERS angstrom
5.2873 0.0056 -0.0126
-2.4619 4.6792 -0.0126
0.4076 0.6759 2.5467
```

Computed properties:
Energy of formation from the pure elements = 497 meV per atom


Entry 10:
A geometry-optimized Cs2ErU2S6 structure. Source: the Alexandria database, functional GGA-PBE. Values from VASP.

Geometry as Quantum ESPRESSO input:
```
&SYSTEM
  ibrav = 0, nat = 11, ntyp = 4
/
ATOMIC_SPECIES
S 32.06 S.upf
Cs 132.91 Cs.upf
U 238.03 U.upf
Er 167.26 Er.upf
ATOMIC_POSITIONS angstrom
S -4.8797 3.2459 1.0126
S -5.0421 -2.2077 1.6942
Cs -2.4321 -2.3992 4.1065
S -6.5600 0.0668 -0.8476
S -4.3708 2.7335 -2.9658
S -4.5333 -2.7201 -2.2842
S -2.8529 0.4590 -0.4240
Cs -1.4147 -3.4238 -3.8485
U -4.9589 0.5171 1.3380
U -4.4540 0.0087 -2.6096
Er -2.7831 3.1744 -0.7648
CELL_PARAMETERS angstrom
-1.1626 -3.6776 -5.8195
-2.6842 -2.1453 6.0775
-5.5662 6.3487 -1.5296
```

Computed properties:
Uncorrected formation energy = -1.584 eV/atom


Entry 11:
A geometry-optimized Ti5FePt2Rh2 structure. Source: the Alexandria database, functional GGA-PBE. Values from VASP.

Geometry as Quantum ESPRESSO input:
```
&SYSTEM
  ibrav = 0, nat = 20, ntyp = 4
/
ATOMIC_SPECIES
Ti 47.87 Ti.upf
Pt 195.08 Pt.upf
Fe 55.84 Fe.upf
Rh 102.91 Rh.upf
ATOMIC_POSITIONS angstrom
Ti 1.4443 3.6930 6.6301
Pt 0.0000 1.6140 3.6468
Fe 0.0000 5.2608 5.2608
Ti 1.4443 0.0000 5.2608
Ti 1.4443 3.8915 3.6930
Rh 0.0000 1.5306 6.7914
Ti 1.4443 6.6301 6.8286
Fe 0.0000 0.0000 0.0000
Pt 0.0000 6.8748 1.6140
Ti 1.4443 6.8286 3.8915
Pt 0.0000 8.9076 6.8748
Ti 1.4443 9.1523 1.5678
Ti 1.4443 8.9538 9.1523
Ti 1.4443 5.2608 0.0000
Ti 1.4443 1.5678 1.3693
Ti 1.4443 1.3693 8.9538
Pt 0.0000 3.6468 8.9076
Rh 0.0000 8.9910 3.7302
Rh 0.0000 3.7302 1.5306
Rh 0.0000 6.7914 8.9910
CELL_PARAMETERS angstrom
2.8886 0.0000 0.0000
0.0000 10.5216 0.0000
0.0000 0.0000 10.5216
```

Computed properties:
Energy of formation from the pure elements = -506 meV per atom


Entry 12:
A geometry-optimized LiTa2Br structure. Source: the Alexandria database, functional GGA-PBE. Values from VASP.

Geometry as Quantum ESPRESSO input:
```
&SYSTEM
  ibrav = 0, nat = 4, ntyp = 3
/
ATOMIC_SPECIES
Ta 180.95 Ta.upf
Li 6.94 Li.upf
Br 79.90 Br.upf
ATOMIC_POSITIONS angstrom
Ta 0.0000 0.2174 0.0286
Li 1.6903 3.7138 4.8096
Br 0.0000 1.9694 3.8092
Ta 1.6903 1.9633 1.2728
CELL_PARAMETERS angstrom
3.3807 0.0000 0.0000
0.0000 3.4879 -0.0045
0.0000 1.7547 6.6180
```

Computed properties:
Uncorrected formation energy = 0.058 eV/atom


Copy entry 8 word for word.
A geometry-optimized SrCa3Hg structure. Source: the Alexandria database, functional GGA-PBE. Values from VASP.

Geometry as Quantum ESPRESSO input:
```
&SYSTEM
  ibrav = 0, nat = 10, ntyp = 3
/
ATOMIC_SPECIES
Ca 40.08 Ca.upf
Sr 87.62 Sr.upf
Hg 200.59 Hg.upf
ATOMIC_POSITIONS angstrom
Ca 4.5523 5.1029 11.4822
Ca 2.9546 4.3132 8.1432
Ca 3.3378 0.2399 5.8111
Sr 1.9573 3.7640 14.2129
Hg 3.8261 1.8941 2.8394
Hg 2.4933 2.6197 10.9510
Ca 4.2973 0.8520 13.0340
Ca 3.7581 6.4540 3.2534
Ca 0.7327 1.2220 8.6033
Sr 1.3922 3.4083 4.5898
CELL_PARAMETERS angstrom
4.1798 0.0000 0.6868
1.9804 6.8670 1.0099
-0.0794 0.0160 13.5457
```

Computed properties:
Energy of formation from the pure elements = -224 meV per atom